Compound: Tb6Nd3Mg
Source: the Alexandria database
Functional: PBE-GGA
Structure: optimized geometry Values from VASP.

Summary:
Total magnetic moment in μB per formula unit: 0.000
Total energy in eV per atom: -4.18
V in A^3/atom: 33.1
Energy relative to the elements in meV/atom: 184
Energy above the lowest structure with this stoichiometry in eV/atom: 0.0681

Quantum ESPRESSO input file:
```
&SYSTEM
  ibrav = 0, nat = 20, ntyp = 3
/
ATOMIC_SPECIES
Tb 158.93 Tb.upf
Nd 144.24 Nd.upf
Mg 24.30 Mg.upf
ATOMIC_POSITIONS angstrom
Tb 9.181 2.642 12.268
Tb 4.705 6.942 13.094
Tb 9.504 8.118 9.249
Tb 4.424 2.423 11.361
Tb 6.633 8.947 10.789
Tb 9.223 3.599 7.516
Tb 7.800 6.588 6.925
Tb 6.128 3.953 13.685
Tb 4.747 7.899 8.342
Tb 10.658 4.823 10.178
Tb 3.270 5.718 10.431
Tb 7.295 1.594 9.820
Nd 7.815 8.360 14.058
Nd 4.677 5.290 5.931
Nd 10.797 7.477 12.495
Nd 6.113 2.181 6.552
Nd 9.251 5.250 14.678
Nd 3.131 3.064 8.115
Mg 6.964 5.270 10.305
Mg 0.000 0.000 0.000
CELL_PARAMETERS angstrom
9.043 1.063 5.149
3.480 8.414 5.149
1.405 1.063 10.311
```